The following is a GGA-PBE calculation of crystalline MoH12C4S2Cl4 at its relaxed geometry, from OQMD via LeMat-Bulk.

Results
- energy (eV per atom) = -4.86
- spin magnetization (μB per formula unit) = 2.01
- SG = No. 61

Cell: 8.7553 13.2026 10.9442 Å, 90.00 90.00 90.00°
Positions (direct):
H (0.4236, 0.8132, 0.5805)
H (0.9069, 0.5779, 0.5173)
H (0.8101, 0.2913, 0.3377)
H (0.6469, 0.0686, 0.3589)
H (0.9961, 0.7508, 0.6455)
H (0.0764, 0.3132, 0.5805)
H (0.1469, 0.0686, 0.1411)
H (0.3531, 0.5686, 0.1411)
H (0.6277, 0.6751, 0.2655)
H (0.1469, 0.4314, 0.6411)
H (0.4961, 0.7508, 0.8545)
H (0.0039, 0.2508, 0.8545)
H (0.0764, 0.1868, 0.0805)
H (0.4069, 0.9221, 0.4827)
H (0.5931, 0.0779, 0.5173)
H (0.5039, 0.2508, 0.6455)
H (0.5764, 0.1868, 0.4195)
H (0.6469, 0.4314, 0.8589)
H (0.8531, 0.5686, 0.3589)
H (0.3723, 0.1751, 0.2345)
H (0.3101, 0.2087, 0.6623)
H (0.3531, 0.9314, 0.6411)
H (0.9961, 0.7492, 0.1455)
H (0.3101, 0.2913, 0.1623)
H (0.5931, 0.4221, 0.0173)
H (0.1899, 0.7913, 0.1623)
H (0.6899, 0.7087, 0.8377)
H (0.3723, 0.3249, 0.7345)
H (0.4069, 0.5779, 0.9827)
H (0.1277, 0.6751, 0.2345)
H (0.6277, 0.8249, 0.7655)
H (0.8723, 0.3249, 0.7655)
H (0.9069, 0.9221, 0.0173)
H (0.1277, 0.8249, 0.7345)
H (0.0931, 0.4221, 0.4827)
H (0.0931, 0.0779, 0.9827)
H (0.9236, 0.8132, 0.9195)
H (0.6899, 0.7913, 0.3377)
H (0.8723, 0.1751, 0.2655)
H (0.4961, 0.7492, 0.3545)
H (0.5039, 0.2492, 0.1455)
H (0.8101, 0.2087, 0.8377)
H (0.0039, 0.2492, 0.3545)
H (0.5764, 0.3132, 0.9195)
H (0.9236, 0.6868, 0.4195)
H (0.1899, 0.7087, 0.6623)
H (0.8531, 0.9314, 0.8589)
H (0.4236, 0.6868, 0.0805)
Cl (0.2095, 0.0946, 0.4291)
Cl (0.9394, 0.9519, 0.2979)
Cl (0.5606, 0.4519, 0.2979)
Cl (0.0606, 0.0481, 0.7021)
Cl (0.9394, 0.5481, 0.7979)
Cl (0.7095, 0.0946, 0.0709)
Cl (0.7905, 0.9054, 0.5709)
Cl (0.2905, 0.9054, 0.9291)
Cl (0.5606, 0.0481, 0.7979)
Cl (0.2905, 0.5946, 0.4291)
Cl (0.2095, 0.4054, 0.9291)
Cl (0.0606, 0.4519, 0.2021)
Cl (0.7095, 0.4054, 0.5709)
Cl (0.4394, 0.5481, 0.7021)
Cl (0.4394, 0.9519, 0.2021)
Cl (0.7905, 0.5946, 0.0709)
C (0.3572, 0.6182, 0.0607)
C (0.8572, 0.6182, 0.4393)
C (0.6428, 0.3818, 0.9393)
C (0.3572, 0.8818, 0.5607)
C (0.1151, 0.7248, 0.1548)
C (0.1428, 0.1182, 0.0607)
C (0.6428, 0.1182, 0.4393)
C (0.8849, 0.2248, 0.3452)
C (0.3849, 0.2752, 0.6548)
C (0.1428, 0.3818, 0.5607)
C (0.8849, 0.2752, 0.8452)
C (0.8572, 0.8818, 0.9393)
C (0.3849, 0.2248, 0.1548)
C (0.6151, 0.7752, 0.8452)
C (0.6151, 0.7248, 0.3452)
C (0.1151, 0.7752, 0.6548)
S (0.6672, 0.8428, 0.9823)
S (0.8328, 0.3428, 0.9823)
S (0.8328, 0.1572, 0.4823)
S (0.1672, 0.6572, 0.0177)
S (0.3328, 0.1572, 0.0177)
S (0.1672, 0.8428, 0.5177)
S (0.6672, 0.6572, 0.4823)
S (0.3328, 0.3428, 0.5177)
Mo (0.5000, 0.5000, 0.5000)
Mo (0.0000, 0.0000, 0.5000)
Mo (0.5000, 0.0000, 0.0000)
Mo (0.0000, 0.5000, 0.0000)